Record 1
Material: TlTe2Cl
Method: DFT, GGA-PBEsol
State: relaxed

Calculated values
- Distance to the lowest polymorph of the same formula: 0.000 eV per atom
- Formation energy without anion corrections: -13 kJ/mol of atoms
- Mass density: 7.1 g/cm3

Unit cell a=7.0488 b=7.0488 c=3.0930 alpha=90.00 beta=90.00 gamma=130.87
With the nearest neighbours (Å) after each atom.
Fractional coordinates of all 4 atoms:
Tl  0.0000  0.0000  0.0000  2 Cl 2.93, 2 Tl 3.09
Te  0.0000  0.5000  0.5000  4 Te 2.93-3.09
Te  0.5000  0.0000  0.5000  4 Te 2.93-3.09
Cl  0.5000  0.5000  0.0000  2 Tl 2.93, 2 Cl 3.09

Record 2
Material: TcSe
Method: DFT, GGA-PBEsol
State: relaxed

Calculated values
- Formation energy without anion corrections: -20 kJ/mol of atoms
- Mass density: 8.6 g/cm3

Unit cell a=2.9439 b=2.9439 c=7.8441 alpha=90.00 beta=90.00 gamma=90.00
With the nearest neighbours (Å) after each atom.
Fractional coordinates of all 4 atoms:
Tc  0.2500  0.2500  0.1212  4 Se 2.52, 4 Tc 2.82
Tc  0.7500  0.7500  0.8788  4 Se 2.52, 4 Tc 2.82
Se  0.2500  0.2500  0.6978  4 Tc 2.52
Se  0.7500  0.7500  0.3022  4 Tc 2.52

Record 3
Material: CuSbRh2
Method: DFT, GGA-PBEsol
State: relaxed

Calculated values
- Distance to the lowest polymorph of the same formula: 0.000 eV per atom
- Formation energy without anion corrections: -29 kJ/mol of atoms
- Mass density: 11.3 g/cm3

Unit cell a=4.4567 b=4.4567 c=4.4567 alpha=124.72 beta=124.72 gamma=82.00
With the nearest neighbours (Å) after each atom.
Fractional coordinates of all 4 atoms:
Cu  0.0000  0.0000  0.0000  8 Rh 2.67, 4 Sb 2.92
Sb  0.5000  0.5000  0.0000  8 Rh 2.67, 4 Cu 2.92
Rh  0.2500  0.7500  0.5000  4 Sb 2.67, 4 Cu 2.67, 4 Rh 2.92
Rh  0.7500  0.2500  0.5000  4 Sb 2.67, 4 Cu 2.67, 4 Rh 2.92

Record 4
Material: Sb2SeBr
Method: DFT, GGA-PBEsol
State: relaxed

Calculated values
- Distance to the lowest polymorph of the same formula: 0.066 eV per atom
- Formation energy without anion corrections: 9 kJ/mol of atoms
- Mass density: 6.5 g/cm3

Unit cell a=3.4555 b=3.4555 c=9.8346 alpha=90.00 beta=90.00 gamma=118.71
With the nearest neighbours (Å) after each atom.
Fractional coordinates of all 4 atoms:
Sb  0.0000  0.0000  0.0000  2 Se 2.66
Sb  0.5000  0.5000  0.2915  2 Br 2.86
Se  0.5000  0.5000  0.7978  2 Sb 2.66
Br  0.0000  0.0000  0.5200  2 Sb 2.86

The following E_tot values (in eV per atom) correspond, in order, to the records above: -3.0549, -7.7657, -6.5978, -3.6161.